Run i
{"formula": "ScRuSe2", "functional": "PBE", "state": "optimized geometry", "lattice_angstrom": [[-0.783, -1.077, 5.718], [-4.653, -2.560, 2.503], [3.855, -0.528, -4.397]], "species": ["Se", "Se", "Ru", "Sc"], "fractional_positions": [[0.250, 0.750, 0.500], [0.000, 0.000, 0.000], [0.500, 0.500, 0.000], [0.750, 0.250, 0.500]], "magnetic_moment_mub_per_cell": 0.00, "space_group": "I-4m2"}

=====

Run ii
{"formula": "ScRuSe2", "functional": "PBE", "state": "optimized geometry", "lattice_angstrom": [[8.128, 0.026, 0.016], [7.256, 3.663, 0.016], [7.256, 1.740, 3.223]], "species": ["Sc", "Se", "Se", "Ru"], "fractional_positions": [[0.750, 0.750, 0.750], [0.021, 0.021, 0.021], [0.218, 0.218, 0.218], [0.511, 0.511, 0.511]], "magnetic_moment_mub_per_cell": 0.00, "space_group": "R3m"}

=====

Stability summary: most stable run ii, least stable run i.

=====

Run i
{"formula": "ScRuSe2", "functional": "PBE", "state": "optimized geometry", "lattice_angstrom": [[-0.398, -1.750, -3.240], [0.937, -5.333, 2.765], [-2.620, -3.922, 2.440]], "species": ["Sc", "Se", "Se", "Ru"], "fractional_positions": [[0.000, 0.000, 0.500], [0.500, 0.500, 0.000], [0.000, 0.000, 0.000], [0.500, 0.500, 0.500]], "magnetic_moment_mub_per_cell": 0.00, "space_group": "P2/m"}

=====

Run ii
{"formula": "ScRuSe2", "functional": "PBE", "state": "optimized geometry", "lattice_angstrom": [[-3.249, -2.435, -2.160], [-4.198, -0.373, 1.840], [-3.566, 2.148, -1.954]], "species": ["Se", "Se", "Ru", "Sc"], "fractional_positions": [[0.250, 0.250, 0.250], [0.750, 0.750, 0.750], [0.500, 0.500, 0.500], [0.000, 0.000, 0.000]], "magnetic_moment_mub_per_cell": 0.00, "space_group": "Fm-3m"}

=====

Run iii
{"formula": "ScRuSe2", "functional": "PBE", "state": "optimized geometry", "lattice_angstrom": [[5.431, -6.309, -0.902], [5.713, -4.565, -4.080], [7.568, -3.382, -1.185]], "species": ["Se", "Se", "Ru", "Sc"], "fractional_positions": [[0.099, 0.099, 0.099], [0.901, 0.901, 0.901], [0.000, 0.000, 0.000], [0.500, 0.500, 0.500]], "magnetic_moment_mub_per_cell": 2.07, "space_group": "R-3m"}

=====

Stability summary: most stable run i, least stable run iii.

=====

Run i
{"formula": "ScRuSe", "functional": "PBE", "state": "optimized geometry", "lattice_angstrom": [[-3.905, 1.586, -0.555], [0.634, -4.199, -0.184], [-0.552, -0.225, 3.236]], "species": ["Ru", "Se", "Sc"], "fractional_positions": [[0.000, 0.000, 0.833], [0.333, 0.667, 0.833], [0.667, 0.333, 0.333]], "magnetic_moment_mub_per_cell": 0.00, "space_group": "P-6m2"}

=====

Run ii
{"formula": "ScRuSe", "functional": "PBE", "state": "optimized geometry", "lattice_angstrom": [[-2.755, -2.401, 2.256], [-1.269, -3.812, -1.519], [1.347, -3.618, 1.883]], "species": ["Ru", "Se", "Sc"], "fractional_positions": [[0.250, 0.250, 0.250], [0.500, 0.500, 0.500], [0.000, 0.000, 0.000]], "magnetic_moment_mub_per_cell": 0.00, "space_group": "F-43m"}

=====

Run iii
{"formula": "ScRuSe", "functional": "PBE", "state": "optimized geometry", "lattice_angstrom": [[4.369, 0.000, 0.000], [2.185, 3.784, 0.000], [2.185, 1.261, 3.567]], "species": ["Ru", "Sc", "Se"], "fractional_positions": [[0.500, 0.500, 0.500], [0.250, 0.250, 0.250], [0.000, 0.000, 0.000]], "magnetic_moment_mub_per_cell": 0.00, "space_group": "F-43m"}

=====

Run iv
{"formula": "ScRuSe", "functional": "PBE", "state": "optimized geometry", "lattice_angstrom": [[-2.719, 3.381, -2.388], [-4.843, -0.775, -0.686], [3.294, -0.172, 3.694]], "species": ["Ru", "Se", "Sc"], "fractional_positions": [[0.979, 0.979, 0.000], [0.680, 0.680, 0.000], [0.341, 0.341, 0.000]], "magnetic_moment_mub_per_cell": 0.26, "space_group": "I4mm"}

=====

Stability summary: most stable run i, least stable run iii.

=====

Run i
{"formula": "Sc4RuSe", "functional": "PBE", "state": "optimized geometry", "lattice_angstrom": [[-1.334, 0.366, 5.412], [-5.334, -0.445, 1.598], [-1.718, -4.539, 2.766]], "species": ["Sc", "Sc", "Sc", "Sc", "Se", "Ru"], "fractional_positions": [[0.373, 0.373, 0.880], [0.373, 0.373, 0.373], [0.880, 0.373, 0.373], [0.373, 0.880, 0.373], [0.750, 0.750, 0.750], [0.000, 0.000, 0.000]], "magnetic_moment_mub_per_cell": 1.55, "space_group": "F-43m"}

=====

Run ii
{"formula": "Sc4RuSe", "functional": "PBE", "state": "optimized geometry", "lattice_angstrom": [[5.249, 0.000, -0.974], [0.000, 6.034, 0.000], [-0.937, 0.000, 7.817]], "species": ["Sc", "Sc", "Sc", "Sc", "Sc", "Sc", "Sc", "Sc", "Ru", "Ru", "Se", "Se"], "fractional_positions": [[0.272, 0.250, 0.354], [0.776, 0.506, 0.305], [0.776, 0.994, 0.305], [0.224, 0.494, 0.695], [0.728, 0.750, 0.646], [0.224, 0.006, 0.695], [0.824, 0.250, 0.921], [0.176, 0.750, 0.079], [0.261, 0.750, 0.416], [0.739, 0.250, 0.584], [0.638, 0.750, 0.970], [0.362, 0.250, 0.030]], "magnetic_moment_mub_per_cell": 0.00, "space_group": "P2_1/m"}

=====

Stability summary: most stable run ii, least stable run i.

=====

Run i
{"formula": "Sc3SiRu", "functional": "PBE", "state": "optimized geometry", "lattice_angstrom": [[4.891, 0.000, 0.000], [0.000, 4.891, 0.000], [0.000, 0.000, 4.891]], "species": ["Sc", "Sc", "Sc", "Ru", "Si"], "fractional_positions": [[0.000, 0.500, 0.000], [0.500, 0.000, 0.000], [0.000, 0.000, 0.500], [0.500, 0.500, 0.500], [0.000, 0.000, 0.000]], "magnetic_moment_mub_per_cell": 0.67, "space_group": "Pm-3m"}

=====

Run ii
{"formula": "Sc3SiRu", "functional": "PBE", "state": "optimized geometry", "lattice_angstrom": [[-4.769, -0.880, -0.634], [1.039, -2.880, -3.815], [0.313, -3.854, 2.995]], "species": ["Si", "Sc", "Sc", "Sc", "Ru"], "fractional_positions": [[0.500, 0.500, 0.500], [0.500, 0.000, 0.000], [0.000, 0.500, 0.000], [0.000, 0.000, 0.500], [0.000, 0.000, 0.000]], "magnetic_moment_mub_per_cell": 0.00, "space_group": "Pm-3m"}

=====

Stability summary: most stable run ii, least stable run i.

=====

Run i
{"formula": "Sc2Si2Ru", "functional": "PBE", "state": "optimized geometry", "lattice_angstrom": [[-1.832, -2.749, -2.294], [3.118, -4.084, -1.121], [-0.478, -4.644, 2.422]], "species": ["Si", "Si", "Ru", "Sc", "Sc"], "fractional_positions": [[0.500, 0.735, 0.265], [0.500, 0.265, 0.735], [0.000, 0.000, 0.000], [0.202, 0.298, 0.298], [0.798, 0.702, 0.702]], "magnetic_moment_mub_per_cell": 0.00, "space_group": "Immm"}

=====

Run ii
{"formula": "Sc2Si2Ru", "functional": "PBE", "state": "optimized geometry", "lattice_angstrom": [[-4.608, -2.825, 0.639], [-1.307, -5.184, 1.024], [-2.449, -1.967, 8.973]], "species": ["Si", "Si", "Si", "Si", "Sc", "Sc", "Sc", "Sc", "Ru", "Ru"], "fractional_positions": [[0.512, 0.512, 0.122], [0.488, 0.488, 0.878], [0.361, 0.361, 0.565], [0.639, 0.639, 0.435], [0.817, 0.817, 0.108], [0.994, 0.994, 0.678], [0.183, 0.183, 0.892], [0.006, 0.006, 0.322], [0.271, 0.271, 0.370], [0.729, 0.729, 0.630]], "magnetic_moment_mub_per_cell": 0.00, "space_group": "C2/m"}

=====

Run iii
{"formula": "Sc2Si2Ru", "functional": "PBE", "state": "optimized geometry", "lattice_angstrom": [[-4.086, 4.862, -0.933], [-3.528, -3.708, -3.875], [-2.181, -1.227, 3.160]], "species": ["Sc", "Sc", "Sc", "Sc", "Si", "Si", "Si", "Si", "Ru", "Ru"], "fractional_positions": [[0.826, 0.326, 0.500], [0.326, 0.174, 0.500], [0.174, 0.674, 0.500], [0.674, 0.826, 0.500], [0.632, 0.132, 0.000], [0.132, 0.368, 0.000], [0.868, 0.632, 0.000], [0.368, 0.868, 0.000], [0.500, 0.500, 0.000], [0.000, 0.000, 0.000]], "magnetic_moment_mub_per_cell": 0.00, "space_group": "P4/mbm"}

=====

Stability summary: most stable run ii, least stable run i.

=====

Run i
{"formula": "ScSi4Ru", "functional": "PBE", "state": "optimized geometry", "lattice_angstrom": [[0.000, 3.510, 3.510], [3.510, 0.000, 3.510], [3.510, 3.510, 0.000]], "species": ["Sc", "Si", "Si", "Si", "Si", "Ru"], "fractional_positions": [[0.000, 0.000, 0.000], [0.375, 0.375, 0.375], [0.375, 0.375, 0.874], [0.375, 0.874, 0.375], [0.874, 0.375, 0.375], [0.750, 0.750, 0.750]], "magnetic_moment_mub_per_cell": 0.00, "space_group": "F-43m"}

=====

Run ii
{"formula": "ScSi4Ru", "functional": "PBE", "state": "optimized geometry", "lattice_angstrom": [[8.059, 0.000, 0.000], [0.000, 4.705, -0.047], [0.000, 0.046, 4.551]], "species": ["Si", "Si", "Si", "Si", "Si", "Si", "Si", "Si", "Ru", "Ru", "Sc", "Sc"], "fractional_positions": [[0.328, 0.000, 0.000], [0.329, 0.500, 0.500], [0.671, 0.500, 0.500], [0.672, 0.000, 0.000], [0.171, 0.000, 0.500], [0.829, 0.000, 0.500], [0.172, 0.500, 0.000], [0.828, 0.500, 0.000], [0.000, 0.500, 0.500], [0.500, 0.000, 0.500], [0.000, 0.000, 0.000], [0.500, 0.500, 0.000]], "magnetic_moment_mub_per_cell": 0.00, "space_group": "Cmmm"}

=====

Stability summary: most stable run ii, least stable run i.

=====

Run i
{"formula": "ScSn2Ru2", "functional": "PBE", "state": "optimized geometry", "lattice_angstrom": [[-3.356, -3.003, 0.489], [1.873, -2.598, -3.104], [5.058, -4.537, 6.851]], "species": ["Sn", "Sn", "Sn", "Sn", "Ru", "Ru", "Ru", "Ru", "Sc", "Sc"], "fractional_positions": [[0.250, 0.750, 0.665], [0.750, 0.250, 0.998], [0.750, 0.250, 0.335], [0.250, 0.750, 0.002], [0.750, 0.750, 0.497], [0.750, 0.750, 0.160], [0.250, 0.250, 0.503], [0.250, 0.250, 0.840], [0.250, 0.750, 0.329], [0.750, 0.250, 0.671]], "magnetic_moment_mub_per_cell": 0.00, "space_group": "Pmmn"}

=====

Run ii
{"formula": "ScSn2Ru2", "functional": "PBE", "state": "optimized geometry", "lattice_angstrom": [[7.750, 0.000, 0.000], [0.000, 7.750, 0.000], [0.000, 0.000, 3.074]], "species": ["Sn", "Sn", "Sn", "Sn", "Ru", "Ru", "Ru", "Ru", "Sc", "Sc"], "fractional_positions": [[0.642, 0.142, 0.000], [0.858, 0.642, 0.000], [0.142, 0.358, 0.000], [0.358, 0.858, 0.000], [0.845, 0.345, 0.500], [0.155, 0.655, 0.500], [0.345, 0.155, 0.500], [0.655, 0.845, 0.500], [0.000, 0.000, 0.000], [0.500, 0.500, 0.000]], "magnetic_moment_mub_per_cell": 0.52, "space_group": "P4/mbm"}

=====

Run iii
{"formula": "ScSn2Ru2", "functional": "PBE", "state": "optimized geometry", "lattice_angstrom": [[7.587, 0.000, 0.000], [0.000, 7.587, 0.000], [0.000, 0.000, 3.197]], "species": ["Sc", "Sc", "Ru", "Ru", "Ru", "Ru", "Sn", "Sn", "Sn", "Sn"], "fractional_positions": [[0.500, 0.500, 0.000], [0.000, 0.000, 0.000], [0.861, 0.639, 0.000], [0.361, 0.861, 0.000], [0.639, 0.139, 0.000], [0.139, 0.361, 0.000], [0.842, 0.342, 0.500], [0.158, 0.658, 0.500], [0.342, 0.158, 0.500], [0.658, 0.842, 0.500]], "magnetic_moment_mub_per_cell": 0.00, "space_group": "P4/mbm"}

=====

Stability summary: most stable run i, least stable run ii.